[1]
{
  "formula": "SmAgAu2",
  "functional": "PBEsol",
  "state": "optimized geometry",
  "vol_a3_per_atom": 20.2,
  "m_tot_mub_per_cell": 0.0,
  "density_g_cm3": 13.43,
  "sg": "Fm-3m",
  "formation_enthalpy_0k_ev_per_atom": -0.563,
  "cell": [[0.000, 3.429, 3.429], [3.429, 0.000, 3.429], [3.429, 3.429, 0.000]],
  "species": ["Sm", "Ag", "Au", "Au"],
  "fractional_positions": [[0.000, 0.000, 0.000], [0.500, 0.500, 0.500], [0.250, 0.250, 0.250], [0.750, 0.750, 0.750]]
}

[2]
{
  "formula": "AgSnAu3",
  "functional": "PBEsol",
  "state": "optimized geometry",
  "vol_a3_per_atom": 25.8,
  "m_tot_mub_per_cell": 0.0,
  "density_g_cm3": 10.50,
  "sg": "Pm-3m",
  "formation_enthalpy_0k_ev_per_atom": 0.717,
  "de_polymorph_ev_per_atom": 0.0380,
  "cell": [[5.056, 0.000, 0.000], [0.000, 5.056, 0.000], [0.000, 0.000, 5.056]],
  "species": ["Ag", "Sn", "Au", "Au", "Au"],
  "fractional_positions": [[0.000, 0.000, 0.000], [0.500, 0.500, 0.500], [0.000, 0.500, 0.500], [0.500, 0.000, 0.500], [0.500, 0.500, 0.000]]
}

[3]
{
  "formula": "AgSnAu3",
  "functional": "PBEsol",
  "state": "optimized geometry",
  "vol_a3_per_atom": 24.4,
  "m_tot_mub_per_cell": 0.0,
  "density_g_cm3": 11.12,
  "sg": "Pm-3m",
  "formation_enthalpy_0k_ev_per_atom": 0.679,
  "de_polymorph_ev_per_atom": 0.0000,
  "cell": [[4.960, 0.000, 0.000], [0.000, 4.960, 0.000], [0.000, 0.000, 4.960]],
  "species": ["Ag", "Sn", "Au", "Au", "Au"],
  "fractional_positions": [[0.000, 0.000, 0.000], [0.500, 0.500, 0.500], [0.000, 0.000, 0.500], [0.000, 0.500, 0.000], [0.500, 0.000, 0.000]]
}

[4]
{
  "formula": "SrAg2Au",
  "functional": "PBEsol",
  "state": "optimized geometry",
  "vol_a3_per_atom": 23.6,
  "m_tot_mub_per_cell": 0.0,
  "density_g_cm3": 8.80,
  "sg": "R3m",
  "formation_enthalpy_0k_ev_per_atom": -0.309,
  "cell": [[2.328, 1.344, 5.031], [-2.328, 1.344, 5.031], [0.000, -2.688, 5.031]],
  "species": ["Sr", "Ag", "Ag", "Au"],
  "fractional_positions": [[0.000, 0.000, 0.000], [0.501, 0.501, 0.501], [0.795, 0.795, 0.795], [0.208, 0.208, 0.208]]
}

We obtain calculated total energy values of -4.6256 -3.1511 -3.1891 -3.4059 eV/atom for the records listed above, in that order.